w:
Compound: Gd2HoPu
Source: the Alexandria database
Functional: PBE-GGA
Structure: optimized geometry

a b c (Å): 12.324 12.324 12.324
angles (deg): 15.95 15.95 15.95
Fractional positions:
Gd: 0.091 0.091 0.091
Gd: 0.909 0.909 0.909
Ho: 0.000 0.000 0.000
Pu: 0.500 0.500 0.500

- SG = No. 166
- size of the total moment (μB per formula unit) = 9.78

---

x:
Compound: Gd2HoPu
Source: the Alexandria database
Functional: PBE-GGA
Structure: optimized geometry

a b c (Å): 5.601 5.601 5.601
angles (deg): 60.00 60.00 60.00
Fractional positions:
Gd: 0.250 0.250 0.250
Gd: 0.750 0.750 0.750
Ho: 0.000 0.000 0.000
Pu: 0.500 0.500 0.500

- SG = No. 225
- size of the total moment (μB per formula unit) = 21.59

---

y:
Compound: Gd2HoPu
Source: the Alexandria database
Functional: PBE-GGA
Structure: optimized geometry

a b c (Å): 3.526 3.526 9.982
angles (deg): 90.00 90.00 90.00
Fractional positions:
Gd: 0.000 0.000 0.246
Gd: 0.000 0.000 0.754
Ho: 0.500 0.500 0.500
Pu: 0.500 0.500 0.000

- SG = No. 123
- size of the total moment (μB per formula unit) = 20.78

---

z:
Compound: Gd2HoPu
Source: the Alexandria database
Functional: PBE-GGA
Structure: optimized geometry

a b c (Å): 4.945 4.945 4.967
angles (deg): 90.00 90.00 90.00
Fractional positions:
Gd: 0.000 0.500 0.000
Gd: 0.500 0.000 0.000
Ho: 0.000 0.000 0.500
Pu: 0.500 0.500 0.500

- SG = No. 123
- size of the total moment (μB per formula unit) = 8.44

---

Energies in meV/atom, measured from the most stable structure: w 121; x 69; y 0; z 27.

---

w:
Compound: Gd2HoRh
Source: the Alexandria database
Functional: PBE-GGA
Structure: optimized geometry

a b c (Å): 10.693 10.693 10.693
angles (deg): 19.64 19.64 19.64
Fractional positions:
Gd: 0.110 0.110 0.110
Gd: 0.890 0.890 0.890
Ho: 0.000 0.000 0.000
Rh: 0.500 0.500 0.500

- SG = No. 166
- size of the total moment (μB per formula unit) = 15.12

---

x:
Compound: Gd2HoRh
Source: the Alexandria database
Functional: PBE-GGA
Structure: optimized geometry

a b c (Å): 3.541 3.541 8.544
angles (deg): 90.00 90.00 90.00
Fractional positions:
Gd: 0.000 0.000 0.191
Gd: 0.000 0.000 0.809
Ho: 0.500 0.500 0.500
Rh: 0.500 0.500 0.000

- SG = No. 123
- size of the total moment (μB per formula unit) = 14.89

---

Energies in meV/atom, measured from the most stable structure: w 234; x 0.